Run w
# AcGa3Co, optimized geometry, DFT PBE-GGA
data_AcGa3Co
_symmetry_space_group_name_H-M 'P n m a'
_symmetry_Int_Tables_number 62
_cell_length_a 8.559
_cell_length_b 4.254
_cell_length_c 10.912
_cell_angle_alpha 90.00
_cell_angle_beta 90.00
_cell_angle_gamma 90.00
loop_
_symmetry_equiv_pos_as_xyz
'x,y,z'
'-x,-y,-z'
'-x+1/2,-y,z+1/2'
'x+1/2,y,-z+1/2'
'x+1/2,-y+1/2,-z+1/2'
'-x+1/2,y+1/2,z+1/2'
'-x,y+1/2,-z'
'x,-y+1/2,z'
loop_
_atom_site_label
_atom_site_type_symbol
_atom_site_fract_x
_atom_site_fract_y
_atom_site_fract_z
_atom_site_occupancy
Ac1 Ac 0.186 0.250 0.006 1
Ga1 Ga 0.052 0.250 0.579 1
Ga2 Ga 0.126 0.750 0.223 1
Ga3 Ga 0.134 0.750 0.774 1
Co1 Co 0.096 0.250 0.350 1
# * M_tot: 0.00 μB per cell
# * density of states at the Fermi level: 13.63 states/eV per cell

=====

Run x
# AcGa3Co, optimized geometry, DFT PBE-GGA
data_AcGa3Co
_symmetry_space_group_name_H-M 'P m -3 m'
_symmetry_Int_Tables_number 221
_symmetry_space_group_name_Hall '-P 4 2 3'
_cell_length_a 4.687
_cell_length_b 4.687
_cell_length_c 4.687
_cell_angle_alpha 90.00
_cell_angle_beta 90.00
_cell_angle_gamma 90.00
loop_
_atom_site_label
_atom_site_type_symbol
_atom_site_fract_x
_atom_site_fract_y
_atom_site_fract_z
_atom_site_occupancy
Ac1 Ac 0.000 0.000 0.000 1
Ga1 Ga 0.000 0.500 0.500 1
Co1 Co 0.500 0.500 0.500 1
# * M_tot: 0.00 μB per cell
# * density of states at the Fermi level: 3.89 states/eV per cell

=====

Stability check: which of them is most stable? run w.

=====

Run w
# AcGa2Co, optimized geometry, DFT PBE-GGA
data_AcGa2Co
_symmetry_space_group_name_H-M 'C m m m'
_symmetry_Int_Tables_number 65
_symmetry_space_group_name_Hall '-C 2 2'
_cell_length_a 4.326
_cell_length_b 17.978
_cell_length_c 4.373
_cell_angle_alpha 90.00
_cell_angle_beta 90.00
_cell_angle_gamma 90.00
loop_
_atom_site_label
_atom_site_type_symbol
_atom_site_fract_x
_atom_site_fract_y
_atom_site_fract_z
_atom_site_occupancy
Ac1 Ac 0.000 0.142 0.000 1
Ga1 Ga 0.000 0.000 0.500 1
Ga2 Ga 0.000 0.294 0.500 1
Ga3 Ga 0.000 0.500 0.000 1
Co1 Co 0.000 0.432 0.500 1
# * M_tot: 0.00 μB per cell
# * density of states at the Fermi level: 13.96 states/eV per cell

=====

Run x
# AcGa2Co, optimized geometry, DFT PBE-GGA
data_AcGa2Co
_symmetry_space_group_name_H-M 'P 4/m m m'
_symmetry_Int_Tables_number 123
_symmetry_space_group_name_Hall '-P 4 2'
_cell_length_a 3.318
_cell_length_b 3.318
_cell_length_c 7.236
_cell_angle_alpha 90.00
_cell_angle_beta 90.00
_cell_angle_gamma 90.00
loop_
_atom_site_label
_atom_site_type_symbol
_atom_site_fract_x
_atom_site_fract_y
_atom_site_fract_z
_atom_site_occupancy
Ac1 Ac 0.000 0.000 0.000 1
Ga1 Ga 0.500 0.500 0.323 1
Co1 Co 0.000 0.000 0.500 1
# * M_tot: 0.92 μB per cell
# * density of states at the Fermi level: 2.67 states/eV per cell

=====

Stability check: which of them is most stable? run w.

=====

Run w
# AcGa2Co, optimized geometry, DFT PBE-GGA
data_AcGa2Co
_symmetry_space_group_name_H-M 'P n m a'
_symmetry_Int_Tables_number 62
_cell_length_a 7.006
_cell_length_b 4.447
_cell_length_c 10.852
_cell_angle_alpha 90.00
_cell_angle_beta 90.00
_cell_angle_gamma 90.00
loop_
_symmetry_equiv_pos_as_xyz
'x,y,z'
'-x,-y,-z'
'-x+1/2,-y,z+1/2'
'x+1/2,y,-z+1/2'
'x+1/2,-y+1/2,-z+1/2'
'-x+1/2,y+1/2,z+1/2'
'-x,y+1/2,-z'
'x,-y+1/2,z'
loop_
_atom_site_label
_atom_site_type_symbol
_atom_site_fract_x
_atom_site_fract_y
_atom_site_fract_z
_atom_site_occupancy
Ac1 Ac 0.176 0.250 0.117 1
Ga1 Ga 0.161 0.250 0.418 1
Ga2 Ga 0.162 0.250 0.804 1
Co1 Co 0.010 0.750 0.390 1
# * M_tot: 0.00 μB per cell
# * density of states at the Fermi level: 12.35 states/eV per cell

=====

Run x
# AcGa2Co, optimized geometry, DFT PBE-GGA
data_AcGa2Co
_symmetry_space_group_name_H-M 'R -3 m'
_symmetry_Int_Tables_number 166
_symmetry_space_group_name_Hall '-R 3 2"'
_cell_length_a 4.1665
_cell_length_b 4.1665
_cell_length_c 17.1006
_cell_angle_alpha 90.00
_cell_angle_beta 90.00
_cell_angle_gamma 120.00
loop_
_atom_site_label
_atom_site_type_symbol
_atom_site_fract_x
_atom_site_fract_y
_atom_site_fract_z
_atom_site_occupancy
Ac1 Ac 0.0000 0.0000 0.0000 1
Ga1 Ga 0.0000 0.0000 0.2031 1
Co1 Co 0.0000 0.0000 0.5000 1
# * M_tot: 1.16 μB per cell
# * density of states at the Fermi level: 13.35 states/eV per cell

=====

Stability check: which of them is most stable? run w.

=====

Run w
# Ac4Ga2Co, optimized geometry, DFT PBE-GGA
data_Ac4Ga2Co
_symmetry_space_group_name_H-M 'P 1 21/m 1'
_symmetry_Int_Tables_number 11
_cell_length_a 6.597
_cell_length_b 7.332
_cell_length_c 9.648
_cell_angle_alpha 90.00
_cell_angle_beta 105.36
_cell_angle_gamma 90.00
loop_
_symmetry_equiv_pos_as_xyz
'x,y,z'
'-x,-y,-z'
'-x,y+1/2,-z'
'x,-y+1/2,z'
loop_
_atom_site_label
_atom_site_type_symbol
_atom_site_fract_x
_atom_site_fract_y
_atom_site_fract_z
_atom_site_occupancy
Ac1 Ac 0.176 0.250 0.092 1
Ac2 Ac 0.275 0.750 0.385 1
Ac3 Ac 0.288 0.504 0.744 1
Ga1 Ga 0.134 0.250 0.444 1
Ga2 Ga 0.337 0.750 0.045 1
Co1 Co 0.440 0.250 0.355 1
# * M_tot: 0.00 μB per cell
# * density of states at the Fermi level: 13.16 states/eV per cell

=====

Run x
# Ac4Ga2Co, optimized geometry, DFT PBE-GGA
data_Ac4Ga2Co
_symmetry_space_group_name_H-M 'I 4/m m m'
_symmetry_Int_Tables_number 139
_symmetry_space_group_name_Hall '-I 4 2'
_cell_length_a 5.409
_cell_length_b 5.409
_cell_length_c 16.223
_cell_angle_alpha 90.00
_cell_angle_beta 90.00
_cell_angle_gamma 90.00
loop_
_atom_site_label
_atom_site_type_symbol
_atom_site_fract_x
_atom_site_fract_y
_atom_site_fract_z
_atom_site_occupancy
Ac1 Ac 0.000 0.000 0.182 1
Ac2 Ac 0.000 0.500 0.000 1
Ga1 Ga 0.000 0.000 0.373 1
Co1 Co 0.000 0.000 0.000 1
# * M_tot: 0.00 μB per cell
# * density of states at the Fermi level: 10.95 states/eV per cell

=====

Stability check: which of them is most stable? run w.

=====

Run w
# Ac2GdCo, optimized geometry, DFT PBE-GGA
data_Ac2GdCo
_symmetry_space_group_name_H-M 'R -3 m'
_symmetry_Int_Tables_number 166
_symmetry_space_group_name_Hall '-R 3 2"'
_cell_length_a 3.9512
_cell_length_b 3.9512
_cell_length_c 32.2182
_cell_angle_alpha 90.00
_cell_angle_beta 90.00
_cell_angle_gamma 120.00
loop_
_atom_site_label
_atom_site_type_symbol
_atom_site_fract_x
_atom_site_fract_y
_atom_site_fract_z
_atom_site_occupancy
Ac1 Ac 0.0000 0.0000 0.1145 1
Gd1 Gd 0.0000 0.0000 0.0000 1
Co1 Co 0.0000 0.0000 0.5000 1
# * M_tot: 24.45 μB per cell
# * density of states at the Fermi level: 26.71 states/eV per cell

=====

Run x
# Ac2GdCo, optimized geometry, DFT PBE-GGA
data_Ac2GdCo
_symmetry_space_group_name_H-M 'P 4/m m m'
_symmetry_Int_Tables_number 123
_symmetry_space_group_name_Hall '-P 4 2'
_cell_length_a 3.722
_cell_length_b 3.722
_cell_length_c 9.194
_cell_angle_alpha 90.00
_cell_angle_beta 90.00
_cell_angle_gamma 90.00
loop_
_atom_site_label
_atom_site_type_symbol
_atom_site_fract_x
_atom_site_fract_y
_atom_site_fract_z
_atom_site_occupancy
Ac1 Ac 0.000 0.000 0.196 1
Gd1 Gd 0.500 0.500 0.500 1
Co1 Co 0.500 0.500 0.000 1
# * M_tot: 9.42 μB per cell
# * density of states at the Fermi level: 5.51 states/eV per cell

=====

Stability check: which of them is most stable? run x.

=====

Run w
# AcCo2Ge2, optimized geometry, DFT PBE-GGA
data_AcCo2Ge2
_symmetry_space_group_name_H-M 'A m m 2'
_symmetry_Int_Tables_number 38
_cell_length_a 4.012
_cell_length_b 4.035
_cell_length_c 12.798
_cell_angle_alpha 90.00
_cell_angle_beta 90.00
_cell_angle_gamma 90.00
loop_
_symmetry_equiv_pos_as_xyz
'x,y,z'
'-x,-y,z'
'-x,y,z'
'x,-y,z'
'x,y+1/2,z+1/2'
'-x,-y+1/2,z+1/2'
'-x,y+1/2,z+1/2'
'x,-y+1/2,z+1/2'
loop_
_atom_site_label
_atom_site_type_symbol
_atom_site_fract_x
_atom_site_fract_y
_atom_site_fract_z
_atom_site_occupancy
Ac1 Ac 0.000 0.000 0.000 1
Co1 Co 0.000 0.000 0.713 1
Co2 Co 0.500 0.000 0.211 1
Ge1 Ge 0.000 0.000 0.304 1
Ge2 Ge 0.500 0.000 0.617 1
# * M_tot: 0.00 μB per cell
# * density of states at the Fermi level: 7.89 states/eV per cell

=====

Run x
# AcCo2Ge2, optimized geometry, DFT PBE-GGA
data_AcCo2Ge2
_symmetry_space_group_name_H-M 'I 4/m m m'
_symmetry_Int_Tables_number 139
_symmetry_space_group_name_Hall '-I 4 2'
_cell_length_a 4.201
_cell_length_b 4.201
_cell_length_c 10.477
_cell_angle_alpha 90.00
_cell_angle_beta 90.00
_cell_angle_gamma 90.00
loop_
_atom_site_label
_atom_site_type_symbol
_atom_site_fract_x
_atom_site_fract_y
_atom_site_fract_z
_atom_site_occupancy
Ac1 Ac 0.000 0.000 0.000 1
Co1 Co 0.000 0.500 0.250 1
Ge1 Ge 0.000 0.000 0.355 1
# * M_tot: 2.30 μB per cell
# * density of states at the Fermi level: 7.59 states/eV per cell

=====

Stability check: which of them is most stable? run x.